{"formula": "SnIr", "functional": "GGA-PBE", "state": "optimized geometry", "total_energy_ev_per_atom": -6.34, "density_g_cm3": 13.92, "cell": [[-0.7406, -2.5315, -1.9059], [0.0235, -0.3509, 3.2351], [-3.9075, 1.0371, 0.1409]], "species": ["Sn", "Ir"], "fractional_positions": [[0.3333, 0.6667, 0.2500], [0.6667, 0.3333, 0.7500]]}


{"formula": "SrSn2Ir", "functional": "GGA-PBE", "state": "optimized geometry", "total_energy_ev_per_atom": -4.60, "density_g_cm3": 9.00, "cell": [[0.0000, 3.6265, 3.6265], [3.6265, 0.0000, 3.6265], [3.6265, 3.6265, 0.0000]], "species": ["Sn", "Sn", "Sr", "Ir"], "fractional_positions": [[0.7500, 0.7500, 0.7500], [0.0000, 0.0000, 0.0000], [0.5000, 0.5000, 0.5000], [0.2500, 0.2500, 0.2500]]}